Entry 1:
VASP calculation (PBE) on a relaxed structure of LiFeBiPt.

## Properties
M_tot (μB per atom): 0.673
Offset from the most stable computed form (eV/atom): 0.000
Symmetry: F-43m (216)

Lattice parameters (Å, degrees): 4.5204 4.5204 4.5204 60.00 60.00 60.00
Closest atoms and distances in Å follow each position.
Fractional positions:
Pt1 0.5000 0.5000 0.5000  4 Li 2.77, 4 Fe 2.77
Bi1 0.0000 0.0000 0.0000  4 Fe 2.77, 4 Li 2.77
Li1 0.2500 0.2500 0.2500  4 Pt 2.77, 4 Bi 2.77
Fe1 0.7500 0.7500 0.7500  4 Bi 2.77, 4 Pt 2.77


Entry 2:
VASP calculation (PBE) on a relaxed structure of Dy2YCu4Sn4.

## Properties
M_tot (μB per atom): 0.000
Symmetry: Immm (71)

Lattice parameters (Å, degrees): 8.4245 8.4245 8.4245 149.32 131.34 58.63
Closest atoms and distances in Å follow each position.
Fractional positions:
Sn1 0.2160 0.2160 0.0000  6 Cu 2.67-2.73
Sn2 0.7840 0.7840 0.0000  6 Cu 2.67-2.73
Sn3 0.2977 0.5000 0.7977  2 Cu 2.62, 1 Sn 2.81
Sn4 0.7023 0.5000 0.2023  2 Cu 2.62, 1 Sn 2.81
Cu1 0.3588 0.6706 0.6883  1 Cu 2.61, 4 Sn 2.62-2.73
Cu2 0.0177 0.3294 0.6883  1 Cu 2.61, 4 Sn 2.62-2.73
Cu3 0.9823 0.6706 0.3117  1 Cu 2.61, 4 Sn 2.62-2.73
Cu4 0.6412 0.3294 0.3117  1 Cu 2.61, 4 Sn 2.62-2.73
Dy1 0.3688 0.8688 0.5000  6 Cu 3.16-3.19, 6 Sn 3.16-3.26
Dy2 0.6312 0.1312 0.5000  6 Cu 3.16-3.19, 6 Sn 3.16-3.26
Y1 0.0000 0.0000 0.0000  6 Sn 3.04-3.17


Entry 3:
VASP calculation (PBE) on a relaxed structure of TcBiB4.

## Properties
M_tot (μB per atom): 0.001
Offset from the most stable computed form (eV/atom): 0.000
Symmetry: P6/mmm (191)

Lattice parameters (Å, degrees): 3.0321 3.0321 8.6146 90.00 90.00 120.00
Closest atoms and distances in Å follow each position.
Fractional positions:
B1 0.6667 0.3333 0.1925  3 B 1.75
B2 0.6667 0.3333 0.8075  3 B 1.75
B3 0.3333 0.6667 0.1925  3 B 1.75
B4 0.3333 0.6667 0.8075  3 B 1.75
Bi1 0.0000 0.0000 0.5000  6 Bi 3.03, 12 B 3.17
Tc1 0.0000 0.0000 0.0000  12 B 2.41


Entry 4:
VASP calculation (PBE) on a relaxed structure of CsPrSeO.

## Properties
M_tot (μB per atom): 0.001
Offset from the most stable computed form (eV/atom): 0.000
Symmetry: P2_1 (4)

Lattice parameters (Å, degrees): 6.0203 6.0204 13.1126 90.00 79.80 90.00
Closest atoms and distances in Å follow each position.
Fractional positions:
Se1 0.4103 0.6409 0.7412  2 Pr 3.10-3.12, 1 O 3.38, 4 Cs 3.41-3.45
Se2 0.5897 0.1409 0.2588  2 Pr 3.10-3.12, 1 O 3.38, 4 Cs 3.41-3.45
Se3 0.0912 0.6404 0.2590  2 Pr 3.11-3.12, 1 O 3.38, 4 Cs 3.41-3.45
Se4 0.9088 0.1404 0.7410  2 Pr 3.11-3.12, 1 O 3.38, 4 Cs 3.41-3.45
O1 0.7500 0.5845 0.0001  4 Pr 2.37-2.43
O2 0.7502 0.0824 0.0000  4 Pr 2.40-2.41
O3 0.2500 0.0845 0.9999  4 Pr 2.37-2.43
O4 0.2498 0.5824 0.0000  4 Pr 2.40-2.41
Pr1 0.4625 0.8384 0.0865  4 O 2.37-2.43
Pr2 0.5375 0.3384 0.9135  4 O 2.37-2.43
Pr3 0.9627 0.3382 0.0866  4 O 2.37-2.43
Pr4 0.0373 0.8382 0.9134  4 O 2.37-2.43
Cs1 0.0426 0.1374 0.3868  4 Se 3.42-3.45
Cs2 0.5447 0.6377 0.3862  4 Se 3.41-3.45
Cs3 0.4553 0.1377 0.6138  4 Se 3.41-3.45
Cs4 0.9574 0.6374 0.6132  4 Se 3.42-3.45


Number 1: energy -20.6 eV per formula unit. Number 2: energy -52.3 eV per formula unit. Number 3: energy -39.1 eV per formula unit. Number 4: energy -22.6 eV per formula unit.